## RbAg2Te4As (PBE)

Data for an optimized crystal structure of RbAg2Te4As.

- DFT total energy: -3.17 eV per atom
- Energy relative to the elements, uncorrected: -187.2 meV per atom

a = 7.3440 Å, b = 8.3226 Å, c = 9.3860 Å
α = 90.00°, β = 90.00°, γ = 90.00°
Closest atoms and distances in Å follow each position.
Space group I222 (No. 23)
Unique sites:
1 Rb 0.0000 0.0000 0.0000 (multiplicity 2)  8 Te 3.73-3.84
2 Ag 0.0000 0.5000 0.1695 (multiplicity 4)  2 Te 2.70
3 Te 0.1998 0.1876 0.3395 (multiplicity 8)  1 As 2.62, 1 Ag 2.70
4 As 0.0000 0.0000 0.5000 (multiplicity 2)  4 Te 2.62